Crystalline LiFePO4 at its relaxed geometry, computed with GGA+U.

As for the total magnetization: 0.5714 μB/atom. Its crystal system is orthorhombic. The total energy is -0.2493 hartree per atom. The energy above the most stable polymorph in this dataset is 0.049 eV/atom. The mass density is 3.17 g/cm³.

The structure belongs to space group Pbca (No. 61); the cell edges are 6.496, 7.429 and 13.716 Å and the angles 90.00°, 90.00° and 90.00°. The distinct sites, in fractional coordinates, are Li at (0.001, 0.178, 0.000), Fe at (0.249, 0.749, 0.293), P at (0.126, 0.001, 0.624), O at (0.008, 0.174, 0.378), O at (0.008, 0.675, 0.879), O at (0.214, 0.000, 0.043) and O at (0.229, 0.001, 0.729).